(1)
This record from Alexandria describes a relaxed structure of Cd3InPb3. The functional is PBE.

The structure in POSCAR format:
```
Cd3InPb3
1.0
8.2341 0.0000 0.0000
0.0000 8.2341 0.0000
0.0000 0.0000 8.2341
Pb Cd In
6 6 2
direct
0.0000 0.2500 0.5000
0.0000 0.7500 0.5000
0.5000 0.0000 0.7500
0.7500 0.5000 0.0000
0.5000 0.0000 0.2500
0.2500 0.5000 0.0000
0.2500 0.0000 0.5000
0.0000 0.5000 0.2500
0.5000 0.7500 0.0000
0.7500 0.0000 0.5000
0.0000 0.5000 0.7500
0.5000 0.2500 0.0000
0.5000 0.5000 0.5000
0.0000 0.0000 0.0000
```

ρ   6.387 Mg/m³
N(E_F)   0.6101 states/eV per atom
Energy of formation   0.42 eV per atom
Energy   -0.1435 Ry/atom

(2)
This record from Alexandria describes a relaxed structure of MgTaPtO6. The functional is PBE.

The structure in POSCAR format:
```
MgTaPtO6
1.0
-4.4249 1.5673 0.4802
-1.2078 -2.1828 -4.0054
-2.1948 -7.6819 4.8483
Mg Ta Pt O
2 2 2 12
direct
0.5000 0.5000 0.1654
0.0000 0.0000 0.6654
0.5000 0.5000 0.4963
0.0000 0.0000 0.9963
0.5000 0.5000 0.8341
0.0000 0.0000 0.3341
0.1986 0.8014 0.4947
0.8014 0.1986 0.4947
0.3014 0.3014 0.9947
0.6986 0.6986 0.9947
0.1883 0.8117 0.1653
0.8117 0.1883 0.1653
0.3117 0.3117 0.6653
0.6883 0.6883 0.6653
0.7968 0.2032 0.8421
0.2032 0.7968 0.8421
0.7032 0.7032 0.3421
0.2968 0.2968 0.3421
```

ρ   7.921 Mg/m³
N(E_F)   0.6581 states/eV per atom
E_form (uncorrected)   -1.837 eV/atom
Energy   -0.5371 Ry/atom

(3)
This record from Alexandria describes a relaxed structure of LiBe2Pt. The functional is PBE.

The structure in POSCAR format:
```
LiBe2Pt
1.0
3.9232 0.0000 0.0000
1.9616 3.3976 0.0000
1.9616 1.1325 3.2033
Be Li Pt
2 1 1
direct
0.0000 0.0000 0.0000
0.2500 0.2500 0.2500
0.5000 0.5000 0.5000
0.7500 0.7500 0.7500
```

ρ   8.558 Mg/m³
N(E_F)   0.5563 states/eV per atom
Energy of formation   -0.35 eV per atom
Energy   -0.3088 Ry/atom